YMnCr2: relaxed, GGA-PBEsol.

Cell lengths 3.0564, 3.0564, 6.5538 Å; angles 90.00, 90.00, 90.00 degrees
Element x y z (fractional)
Y 0.0000 0.0000 0.0000
Mn 0.0000 0.0000 0.5000
Cr 0.5000 0.5000 0.3407
Cr 0.5000 0.5000 0.6593

Output
Crystal system ... tetragonal
Uncorrected energy ... -8.8053 eV per atom
DOS at the Fermi energy ... 1.1134 states/eV/atom